(1)
A plane-wave DFT calculation with PBE-GGA was carried out for a relaxed TlFe2Ir crystal.

The energy relative to the elements comes out at 42 kJ per mole of atoms. For the calculated density, the calculation gives 13.70 g/cm³. The calculation puts the final energy at -52.8 eV per cell. The crystal system is tetragonal. As for the energy above the most stable polymorph in this dataset: 95.2 meV/atom. The calculation puts the total moment at 6.10 μB per formula unit.

a b c (Å): 3.959 3.959 7.859
angles (deg): 90.00 90.00 90.00
Space group I4/mmm (No. 139)
Inequivalent atoms, fractional coordinates:
Tl  0.000  0.000  0.000 (multiplicity 2)
Fe  0.000  0.500  0.250 (multiplicity 4)
Ir  0.000  0.000  0.500 (multiplicity 2)

***

(2)
A plane-wave DFT calculation with PBE-GGA was carried out for a relaxed Mg2MnOs crystal.

The energy relative to the elements comes out at 26 kJ per mole of atoms. For the calculated density, the calculation gives 7.69 g/cm³. The calculation puts the final energy at -45.0 eV per cell. The crystal system is orthorhombic. As for the energy above the most stable polymorph in this dataset: 186.7 meV/atom. The calculation puts the total moment at 3.41 μB per formula unit.

a b c (Å): 5.530 8.443 2.719
angles (deg): 90.00 90.00 90.00
Space group Cmmm (No. 65)
Inequivalent atoms, fractional coordinates:
Mg  0.250  0.250  0.000 (multiplicity 4)
Mn  0.000  0.000  0.500 (multiplicity 2)
Os  0.000  0.500  0.500 (multiplicity 2)